## LiCuO2 (PBE)

Data for LiCuO2 after structural relaxation.

Values from the calculation:
The calculation puts the total energy at -4.892 eV/atom. As for the formation energy (no corrections): -3.64 eV per formula unit.

Structure (POSCAR):
```
LiCuO2
1.0
5.610 0.000 0.000
0.000 6.445 0.000
0.000 0.000 4.923
Li Cu O
4 4 8
Direct
0.084 0.124 0.000
0.416 0.624 0.500
0.584 0.376 0.000
0.916 0.876 0.500
0.088 0.626 0.003
0.412 0.126 0.503
0.588 0.874 0.003
0.912 0.374 0.503
0.077 0.615 0.390
0.090 0.137 0.409
0.410 0.637 0.909
0.423 0.115 0.890
0.577 0.885 0.390
0.590 0.363 0.409
0.910 0.863 0.909
0.923 0.385 0.890
```